! GGA-PBE CoAgP2, optimized geometry; values from VASP
&SYSTEM
  ibrav = 0, nat = 4, ntyp = 3
/
ATOMIC_SPECIES
P 30.97 P.upf
Ag 107.87 Ag.upf
Co 58.93 Co.upf
CELL_PARAMETERS angstrom
-2.026 -1.680 0.378
1.972 -1.878 2.218
-2.216 3.851 5.230
ATOMIC_POSITIONS angstrom
P -1.862 3.235 4.393
P -0.582 -0.814 2.609
Ag -1.046 1.818 2.468
Co -2.105 1.832 6.202
! Offset from the most stable computed form   0.053 eV per atom
! Formation energy   0.36 eV per formula unit
! Fermi-level density of states   0.4958 states/eV per atom

---

! GGA-PBE CaMgTa2, optimized geometry; values from VASP
&SYSTEM
  ibrav = 0, nat = 4, ntyp = 3
/
ATOMIC_SPECIES
Ta 180.95 Ta.upf
Ca 40.08 Ca.upf
Mg 24.30 Mg.upf
CELL_PARAMETERS angstrom
6.146 -0.001 -0.008
3.405 5.117 0.008
-4.267 -3.508 2.696
ATOMIC_POSITIONS angstrom
Ta 0.144 0.077 0.000
Ta 4.632 2.481 0.000
Ca 3.327 -0.475 1.344
Mg 1.957 2.084 1.352
! Formation energy   2.11 eV per formula unit
! Fermi-level density of states   0.9526 states/eV per atom